Crystalline KSc2Nb at its relaxed geometry. Source: the Alexandria database, functional GGA-PBE.

Geometry as POSCAR:
```
KSc2Nb
1.0
1.618 0.934 11.708
-1.618 0.934 11.708
0.000 -1.868 11.708
K Sc Nb
1 2 1
Cartesian
0.000 0.000 0.000 K
0.000 0.000 3.518 Sc
0.000 0.000 31.607 Sc
0.000 0.000 17.562 Nb
```

## Properties
DOS(E_F): 7.50 states/eV per cell
Energy of formation: 0.432 eV per atom
Polymorph energy (0 for the lowest one): 0.00 eV per formula unit
Uncorrected energy: -22.10 eV/cell
ρ: 3.5 g/cm³